Entry 1:
## SrP2HO (PBE-GGA)

Data for a geometry-optimized SrP2HO structure.

Cell lengths 6.6534, 6.6534, 4.4970 Å; angles 90.00, 90.00, 90.00 degrees
Closest atoms and distances in Å follow each position.
Element x y z (fractional)
Sr (0.0000, 0.0000, 0.0000)  2 O 2.25
H (0.5000, 0.5000, 0.5000)  8 P 4.02, 2 H 4.50
O (0.0000, 0.0000, 0.5000)  2 Sr 2.25
P (0.0000, 0.5000, 0.0000)  2 Sr 3.33
P (0.5000, 0.0000, 0.0000)  2 Sr 3.33

Calculated values
- offset from the most stable computed form (meV/atom) = 1522.9



Entry 2:
## LiBr3 (PBE-GGA)

Data for a geometry-optimized LiBr3 structure.

Cell lengths 13.1494, 13.1494, 13.1494 Å; angles 14.65, 14.65, 14.65 degrees
Closest atoms and distances in Å follow each position.
Element x y z (fractional)
Br (0.5000, 0.5000, 0.5000)  6 Br 3.35
Br (0.9409, 0.9409, 0.9409)  1 Li 2.31
Br (0.0591, 0.0591, 0.0591)  1 Li 2.31
Li (0.0000, 0.0000, 0.0000)  2 Br 2.31

Calculated values
- offset from the most stable computed form (meV/atom) = 545.6
- raw formation energy (meV/atom) = -184



Entry 3:
## Cr2PSe (PBE-GGA)

Data for a geometry-optimized Cr2PSe structure.

Cell lengths 4.4092, 4.4092, 4.4092 Å; angles 60.00, 60.00, 60.00 degrees
Closest atoms and distances in Å follow each position.
Element x y z (fractional)
Cr (0.0000, 0.0000, 0.0000)  4 Cr 2.70, 4 Se 2.70
Cr (0.7500, 0.7500, 0.7500)  4 Cr 2.70, 4 P 2.70
P (0.5000, 0.5000, 0.5000)  4 Se 2.70, 4 Cr 2.70
Se (0.2500, 0.2500, 0.2500)  4 Cr 2.70, 4 P 2.70

Calculated values
- offset from the most stable computed form (meV/atom) = 738.2
- raw formation energy (meV/atom) = 495



Entry 4:
## Sr3Ac4Hg3N2 (PBE-GGA)

Data for a geometry-optimized Sr3Ac4Hg3N2 structure.

Cell lengths 5.3060, 5.3601, 13.6786 Å; angles 101.30, 101.18, 90.00 degrees
Closest atoms and distances in Å follow each position.
Element x y z (fractional)
Sr (0.0024, 0.0000, 0.0000)  2 N 2.81
Sr (0.0988, 0.5966, 0.1932)  2 N 2.69
Sr (0.9056, 0.4034, 0.8068)  2 N 2.69
Ac (0.4073, 0.9050, 0.8099)  2 N 2.67
Ac (0.2022, 0.1998, 0.3996)  1 N 2.44
Ac (0.8026, 0.8002, 0.6004)  1 N 2.44
Ac (0.5974, 0.0950, 0.1901)  2 N 2.67
Hg (0.5033, 0.5000, 0.0000)  4 Ac 3.66, 8 Sr 3.67-3.77
Hg (0.3272, 0.3252, 0.6504)  3 Ac 3.30-3.40, 2 Sr 3.36
Hg (0.6768, 0.6748, 0.3496)  3 Ac 3.30-3.40, 2 Sr 3.36
N (0.1092, 0.1070, 0.2141)  3 Ac 2.44-2.67, 2 Sr 2.69
N (0.8952, 0.8930, 0.7859)  3 Ac 2.44-2.67, 2 Sr 2.69

Calculated values
- raw formation energy (meV/atom) = -567



Entry 5:
## MnGa2PbS (PBE-GGA)

Data for a geometry-optimized MnGa2PbS structure.

Cell lengths 5.4666, 5.3753, 5.4666 Å; angles 90.00, 90.00, 90.00 degrees
Closest atoms and distances in Å follow each position.
Element x y z (fractional)
Pb (0.0000, 0.0000, 0.0000)  2 S 2.69, 4 Ga 2.73
S (0.0000, 0.5000, 0.0000)  2 Pb 2.69
Mn (0.5000, 0.5000, 0.5000)  8 Ga 3.83, 4 S 3.87
Ga (0.0000, 0.0000, 0.5000)  2 Pb 2.73
Ga (0.5000, 0.0000, 0.0000)  2 Pb 2.73

Calculated values
- raw formation energy (meV/atom) = 901



Entry 6:
## ZrP2HN6 (PBE-GGA)

Data for a geometry-optimized ZrP2HN6 structure.

Cell lengths 5.2309, 6.8808, 6.8808 Å; angles 90.78, 70.45, 70.45 degrees
Closest atoms and distances in Å follow each position.
Element x y z (fractional)
Zr (0.2500, 0.8868, 0.1132)  6 N 2.16-2.30
Zr (0.7500, 0.1132, 0.8868)  6 N 2.16-2.30
P (0.3688, 0.7538, 0.5784)  4 N 1.58-1.73
P (0.1312, 0.4216, 0.2462)  4 N 1.58-1.73
P (0.6312, 0.2462, 0.4216)  4 N 1.58-1.73
P (0.8688, 0.5784, 0.7538)  4 N 1.58-1.73
H (0.2500, 0.2594, 0.7406)  2 N 1.34
H (0.7500, 0.7406, 0.2594)  2 N 1.34
N (0.1918, 0.8950, 0.7966)  1 P 1.58
N (0.3082, 0.2034, 0.1050)  1 P 1.58
N (0.8082, 0.1050, 0.2034)  1 P 1.58
N (0.6918, 0.7966, 0.8950)  1 P 1.58
N (0.4595, 0.8121, 0.3484)  1 H 1.34
N (0.0405, 0.6516, 0.1879)  1 H 1.34
N (0.5405, 0.1879, 0.6516)  1 H 1.34
N (0.9595, 0.3484, 0.8121)  1 H 1.34
N (0.1844, 0.5879, 0.5751)  1 N 1.39
N (0.3156, 0.4249, 0.4121)  1 N 1.39
N (0.8156, 0.4121, 0.4249)  1 N 1.39
N (0.6844, 0.5751, 0.5879)  1 N 1.39

Calculated values
- uncorrected energy (eV per atom) = -7.510



Entry 7:
## SmEr8In6 (PBE-GGA)

Data for a geometry-optimized SmEr8In6 structure.

Cell lengths 9.0013, 9.0013, 8.2832 Å; angles 57.09, 57.09, 60.00 degrees
Closest atoms and distances in Å follow each position.
Element x y z (fractional)
Sm (0.0000, 0.0000, 0.0000)  6 In 3.25
Er (0.5540, 0.2205, 0.3387)  5 In 3.10-3.35
Er (0.7795, 0.1132, 0.6613)  5 In 3.10-3.35
Er (0.1132, 0.4460, 0.6613)  5 In 3.10-3.35
Er (0.6670, 0.6670, 0.9989)  6 In 3.20
Er (0.3330, 0.3330, 0.0011)  6 In 3.20
Er (0.8868, 0.5540, 0.3387)  5 In 3.10-3.35
Er (0.2205, 0.8868, 0.3387)  5 In 3.10-3.35
Er (0.4460, 0.7795, 0.6613)  5 In 3.10-3.35
In (0.3976, 0.0604, 0.8191)  7 Er 3.10-3.35, 1 Sm 3.25
In (0.9396, 0.2771, 0.1809)  7 Er 3.10-3.35, 1 Sm 3.25
In (0.2771, 0.6024, 0.1809)  7 Er 3.10-3.35, 1 Sm 3.25
In (0.7229, 0.3976, 0.8191)  7 Er 3.10-3.35, 1 Sm 3.25
In (0.0604, 0.7229, 0.8191)  7 Er 3.10-3.35, 1 Sm 3.25
In (0.6024, 0.9396, 0.1809)  7 Er 3.10-3.35, 1 Sm 3.25

Calculated values
- calculated formation energy (eV per atom) = -0.198



Entry 8:
## Na2PuPb (PBE-GGA)

Data for a geometry-optimized Na2PuPb structure.

Cell lengths 3.4066, 3.4066, 12.8225 Å; angles 82.37, 82.37, 60.00 degrees
Closest atoms and distances in Å follow each position.
Element x y z (fractional)
Pb (0.5000, 0.5000, 0.5000)  6 Pb 3.41, 6 Na 3.44
Na (0.0925, 0.0925, 0.7225)  6 Na 3.41, 3 Pb 3.44, 1 Pu 3.52
Na (0.9075, 0.9075, 0.2775)  6 Na 3.41, 3 Pb 3.44, 1 Pu 3.52
Pu (0.0000, 0.0000, 0.0000)  6 Pu 3.41, 2 Na 3.52

Calculated values
- calculated formation energy (eV per atom) = 0.246



Entry 9:
## CeSmGaCo (PBE-GGA)

Data for a geometry-optimized CeSmGaCo structure.

Cell lengths 5.0136, 5.0136, 5.0136 Å; angles 60.00, 60.00, 60.00 degrees
Closest atoms and distances in Å follow each position.
Element x y z (fractional)
Ga (0.2500, 0.2500, 0.2500)  4 Sm 3.07, 4 Ce 3.07
Co (0.7500, 0.7500, 0.7500)  4 Sm 3.07, 4 Ce 3.07
Ce (0.0000, 0.0000, 0.0000)  4 Co 3.07, 4 Ga 3.07
Sm (0.5000, 0.5000, 0.5000)  4 Co 3.07, 4 Ga 3.07

Calculated values
- calculated formation energy (eV per atom) = -0.206



Entry 10:
## Ho2PuPaC4 (PBE-GGA)

Data for a geometry-optimized Ho2PuPaC4 structure.

Cell lengths 3.6024, 6.1151, 6.1987 Å; angles 70.67, 90.00, 90.00 degrees
Closest atoms and distances in Å follow each position.
Element x y z (fractional)
Ho (0.0000, 0.0000, 0.0000)  6 C 2.62-2.64
Ho (0.5000, 0.0000, 0.5000)  6 C 2.58-2.60
Pu (0.0000, 0.5000, 0.5000)  6 C 2.39-2.45
Pa (0.5000, 0.5000, 0.0000)  6 C 2.45-2.47
C (0.0000, 0.7247, 0.7504)  1 Pu 2.39, 2 Pa 2.47, 3 Ho 2.60-2.64
C (0.0000, 0.2754, 0.2496)  1 Pu 2.39, 2 Pa 2.47, 3 Ho 2.60-2.64
C (0.5000, 0.7260, 0.2600)  1 Pa 2.45, 2 Pu 2.45, 3 Ho 2.58-2.62
C (0.5000, 0.2740, 0.7400)  1 Pa 2.45, 2 Pu 2.45, 3 Ho 2.58-2.62

Calculated values
- calculated formation energy (eV per atom) = -0.224



Entry 11:
## Cs2AgTe2Se4 (PBE-GGA)

Data for a geometry-optimized Cs2AgTe2Se4 structure.

Cell lengths 5.2818, 11.4172, 7.7913 Å; angles 128.15, 90.00, 103.37 degrees
Closest atoms and distances in Å follow each position.
Element x y z (fractional)
Cs (0.8768, 0.7535, 0.3437)  5 Se 3.63-3.82, 1 Ag 3.98, 1 Te 4.06
Cs (0.1232, 0.2465, 0.6563)  5 Se 3.63-3.82, 1 Ag 3.98, 1 Te 4.06
Ag (0.0000, 0.0000, 0.0000)  2 Se 2.55
Te (0.3432, 0.6865, 0.8628)  3 Se 2.58-2.79
Te (0.6568, 0.3135, 0.1372)  3 Se 2.58-2.79
Se (0.8523, 0.7046, 0.7653)  1 Ag 2.55, 2 Te 2.79
Se (0.1477, 0.2954, 0.2347)  1 Ag 2.55, 2 Te 2.79
Se (0.4705, 0.9411, 0.2690)  1 Te 2.58
Se (0.5295, 0.0589, 0.7310)  1 Te 2.58

Calculated values
- raw formation energy (meV/atom) = -452



Entry 12:
## NpIn3Hg4 (PBE-GGA)

Data for a geometry-optimized NpIn3Hg4 structure.

Cell lengths 4.9422, 8.1676, 9.9953 Å; angles 90.00, 90.00, 90.00 degrees
Closest atoms and distances in Å follow each position.
Element x y z (fractional)
Np (0.0000, 0.5000, 0.0000)  8 Hg 3.22-3.23, 4 In 3.51-3.52
Np (0.0000, 0.5000, 0.5000)  8 Hg 3.22-3.23, 4 In 3.51-3.52
Hg (0.5000, 0.7522, 0.0000)  6 In 3.19-3.24, 2 Np 3.22, 4 Hg 3.51-3.52
Hg (0.5000, 0.7522, 0.5000)  6 In 3.19-3.24, 2 Np 3.22, 4 Hg 3.51-3.52
Hg (0.5000, 0.2478, 0.0000)  6 In 3.19-3.24, 2 Np 3.22, 4 Hg 3.51-3.52
Hg (0.5000, 0.2478, 0.5000)  6 In 3.19-3.24, 2 Np 3.22, 4 Hg 3.51-3.52
Hg (0.0013, 0.7512, 0.7500)  6 In 3.20-3.22, 2 Np 3.23, 4 Hg 3.51-3.52
Hg (0.9987, 0.7512, 0.2500)  6 In 3.20-3.22, 2 Np 3.23, 4 Hg 3.51-3.52
Hg (0.9987, 0.2488, 0.2500)  6 In 3.20-3.22, 2 Np 3.23, 4 Hg 3.51-3.52
Hg (0.0013, 0.2488, 0.7500)  6 In 3.20-3.22, 2 Np 3.23, 4 Hg 3.51-3.52
In (0.0000, 0.0000, 0.0000)  8 Hg 3.19-3.22, 4 In 3.51-3.52
In (0.0000, 0.0000, 0.5000)  8 Hg 3.19-3.22, 4 In 3.51-3.52
In (0.5011, 0.0000, 0.7500)  8 Hg 3.20-3.22, 4 In 3.51-3.52
In (0.4989, 0.0000, 0.2500)  8 Hg 3.20-3.22, 4 In 3.51-3.52
In (0.5011, 0.5000, 0.7500)  8 Hg 3.21-3.24, 4 Np 3.51-3.52
In (0.4989, 0.5000, 0.2500)  8 Hg 3.21-3.24, 4 Np 3.51-3.52

Calculated values
- calculated formation energy (eV per atom) = 0.053



Entry 13:
## PmDyMgBi (PBE-GGA)

Data for a geometry-optimized PmDyMgBi structure.

Cell lengths 5.4683, 5.4683, 5.4683 Å; angles 60.00, 60.00, 60.00 degrees
Closest atoms and distances in Å follow each position.
Element x y z (fractional)
Mg (0.0000, 0.0000, 0.0000)  4 Pm 3.35, 4 Dy 3.35
Pm (0.7500, 0.7500, 0.7500)  4 Bi 3.35, 4 Mg 3.35
Bi (0.5000, 0.5000, 0.5000)  4 Dy 3.35, 4 Pm 3.35
Dy (0.2500, 0.2500, 0.2500)  4 Mg 3.35, 4 Bi 3.35

Calculated values
- calculated formation energy (eV per atom) = -0.324



Entry 14:
## Ba2LiSb2 (PBE-GGA)

Data for a geometry-optimized Ba2LiSb2 structure.

Cell lengths 10.1049, 10.1049, 3.8316 Å; angles 90.00, 90.00, 90.00 degrees
Closest atoms and distances in Å follow each position.
Element x y z (fractional)
Sb (0.1669, 0.6669, 0.5000)  6 Ba 3.44-3.60, 2 Sb 3.83
Sb (0.6669, 0.8331, 0.5000)  6 Ba 3.44-3.60, 2 Sb 3.83
Sb (0.8331, 0.3331, 0.5000)  6 Ba 3.44-3.60, 2 Sb 3.83
Sb (0.3331, 0.1669, 0.5000)  6 Ba 3.44-3.60, 2 Sb 3.83
Ba (0.3669, 0.8669, 0.0000)  6 Sb 3.44-3.60, 3 Ba 3.80-3.83
Ba (0.8669, 0.6331, 0.0000)  6 Sb 3.44-3.60, 3 Ba 3.80-3.83
Ba (0.6331, 0.1331, 0.0000)  6 Sb 3.44-3.60, 3 Ba 3.80-3.83
Ba (0.1331, 0.3669, 0.0000)  6 Sb 3.44-3.60, 3 Ba 3.80-3.83
Li (0.0000, 0.0000, 0.0000)  2 Li 3.83, 4 Ba 3.94, 8 Sb 4.22
Li (0.5000, 0.5000, 0.0000)  2 Li 3.83, 4 Ba 3.94, 8 Sb 4.22

Calculated values
- offset from the most stable computed form (meV/atom) = 213.7
- raw formation energy (meV/atom) = -573



Entry 15:
## Pu2UAu (PBE-GGA)

Data for a geometry-optimized Pu2UAu structure.

Cell lengths 3.0332, 5.3342, 5.3342 Å; angles 90.00, 90.00, 90.00 degrees
Closest atoms and distances in Å follow each position.
Element x y z (fractional)
Au (0.5000, 0.0000, 0.0000)  2 Au 3.03, 8 Pu 3.07
U (0.5000, 0.5000, 0.5000)  2 U 3.03, 8 Pu 3.07
Pu (0.0000, 0.0000, 0.5000)  2 Pu 3.03, 4 U 3.07, 4 Au 3.07
Pu (0.0000, 0.5000, 0.0000)  2 Pu 3.03, 4 U 3.07, 4 Au 3.07

Calculated values
- offset from the most stable computed form (meV/atom) = 0.0
- calculated formation energy (eV per atom) = -0.043



Entry 16:
## PrCoOs (PBE-GGA)

Data for a geometry-optimized PrCoOs structure.

Cell lengths 5.4234, 5.4717, 4.8398 Å; angles 90.00, 124.08, 90.00 degrees
Closest atoms and distances in Å follow each position.
Element x y z (fractional)
Pr (0.3502, 0.7500, 0.7004)  4 Co 2.83-2.85, 2 Os 3.12
Pr (0.6498, 0.2500, 0.2996)  4 Co 2.83-2.85, 2 Os 3.12
Co (0.2516, 0.2500, 0.5033)  2 Os 2.44
Co (0.7484, 0.7500, 0.4967)  2 Os 2.44
Os (0.0000, 0.0000, 0.0000)  2 Co 2.44
Os (0.0000, 0.5000, 0.0000)  2 Co 2.44

Calculated values
- offset from the most stable computed form (meV/atom) = 445.5
- calculated formation energy (eV per atom) = 0.402



Entry 17:
## OsCS2 (PBE-GGA)

Data for a geometry-optimized OsCS2 structure.

Cell lengths 7.0342, 7.0342, 7.0342 Å; angles 24.22, 24.22, 24.22 degrees
Closest atoms and distances in Å follow each position.
Element x y z (fractional)
S (0.8925, 0.8925, 0.8925)  3 C 2.09, 1 Os 2.20
S (0.1075, 0.1075, 0.1075)  3 C 2.09, 1 Os 2.20
Os (0.0000, 0.0000, 0.0000)  2 S 2.20
C (0.5000, 0.5000, 0.5000)  6 S 2.09

Calculated values
- raw formation energy (meV/atom) = 1256



Entry 18:
## BeCd2Ru2 (PBE-GGA)

Data for a geometry-optimized BeCd2Ru2 structure.

Cell lengths 5.9414, 5.9414, 4.5749 Å; angles 90.00, 90.00, 90.00 degrees
Closest atoms and distances in Å follow each position.
Element x y z (fractional)
Ru (0.3569, 0.8569, 0.0000)  2 Be 2.28, 1 Ru 2.41
Ru (0.8569, 0.6431, 0.0000)  2 Be 2.28, 1 Ru 2.41
Ru (0.6431, 0.1431, 0.0000)  2 Be 2.28, 1 Ru 2.41
Ru (0.1431, 0.3569, 0.0000)  2 Be 2.28, 1 Ru 2.41
Be (0.0000, 0.0000, 0.0000)  4 Ru 2.28
Be (0.5000, 0.5000, 0.0000)  4 Ru 2.28
Cd (0.1732, 0.6733, 0.5000)  6 Ru 2.76-2.97, 1 Cd 2.91
Cd (0.6733, 0.8268, 0.5000)  6 Ru 2.76-2.97, 1 Cd 2.91
Cd (0.8268, 0.3268, 0.5000)  6 Ru 2.76-2.97, 1 Cd 2.91
Cd (0.3268, 0.1732, 0.5000)  6 Ru 2.76-2.97, 1 Cd 2.91

Calculated values
- calculated formation energy (eV per atom) = 0.205



Entry 19:
## PrSmSiBr (PBE-GGA)

Data for a geometry-optimized PrSmSiBr structure.

Cell lengths 4.2041, 4.2042, 7.9920 Å; angles 90.00, 105.25, 120.00 degrees
Closest atoms and distances in Å follow each position.
Element x y z (fractional)
Pr (0.4998, 0.1478, 0.6629)  3 Si 2.92
Sm (0.1079, 0.9519, 0.0750)  3 Si 2.86
Si (0.3089, 0.5524, 0.8766)  3 Sm 2.86, 3 Pr 2.92
Br (0.9613, 0.3787, 0.3552)  3 Sm 3.23, 3 Pr 3.37

Calculated values
- raw formation energy (meV/atom) = -1042



Entry 20:
## Sc2ReMo (PBE-GGA)

Data for a geometry-optimized Sc2ReMo structure.

Cell lengths 5.4398, 5.4398, 2.7522 Å; angles 90.00, 90.00, 119.17 degrees
Closest atoms and distances in Å follow each position.
Element x y z (fractional)
Mo (0.5000, 0.0000, 0.5000)  2 Mo 2.75, 2 Re 2.75, 8 Sc 3.05
Re (0.0000, 0.5000, 0.5000)  2 Re 2.75, 2 Mo 2.75, 8 Sc 3.05
Sc (0.0000, 0.0000, 0.0000)  4 Sc 2.75, 4 Mo 3.05, 4 Re 3.05
Sc (0.5000, 0.5000, 0.0000)  4 Sc 2.75, 4 Re 3.05, 4 Mo 3.05

Calculated values
- offset from the most stable computed form (meV/atom) = 294.1
- calculated formation energy (eV per atom) = 0.205